Material: Mg2ZrPb
Method: DFT, GGA-PBE
State: relaxed

Cell: 4.3500 4.3500 9.6032 Å, 90.00 90.00 90.00°
Last column: nearest neighbours and their distance in Å.
Space group I-4m2 (No. 119)
Unique sites:
Mg 0.0000 0.0000 0.0000 (multiplicity 2)  4 Pb 3.08, 4 Zr 3.24, 4 Mg 3.24
Mg 0.0000 0.5000 0.2500 (multiplicity 2)  4 Zr 3.08, 4 Pb 3.24, 4 Mg 3.24
Zr 0.0000 0.5000 0.7500 (multiplicity 2)  8 Mg 3.08-3.24, 4 Pb 3.24
Pb 0.0000 0.0000 0.5000 (multiplicity 2)  8 Mg 3.08-3.24, 4 Zr 3.24

Output
- DOS at the Fermi energy (states/eV/cell) = 8.353
- electronic total energy (eV/atom) = -3.897
- volume (Å³/cell) = 181.72
- formation energy from the elements (eV per atom) = -0.04